[1]
Ca5NdS6 | PBE | optimized geometry

Properties
- E_form (uncorrected): -2.108 eV/atom
- Total energy: -5.40 eV/atom

Structure (POSCAR):
```
Ca5NdS6
1.0
6.921 0.167 1.051
1.699 5.866 3.420
0.116 0.063 6.997
Ca Nd S
5 1 6
direct
0.500 0.167 0.666 Ca
0.000 0.333 0.334 Ca
0.500 0.500 0.000 Ca
0.000 0.667 0.666 Ca
0.500 0.833 0.334 Ca
0.000 0.000 0.000 Nd
0.750 0.084 0.334 S
0.250 0.582 0.334 S
0.251 0.250 0.000 S
0.749 0.750 0.000 S
0.750 0.418 0.666 S
0.250 0.916 0.666 S
```



[2]
TaTl2GeMo | PBE | optimized geometry

Properties
- Energy relative to the elements: 1.66 eV per atom
- Total energy: -4.74 eV/atom

Structure (POSCAR):
```
TaTl2GeMo
1.0
-2.474 -3.028 -3.362
0.907 -3.820 2.773
-4.419 0.792 2.537
Tl Ge Mo Ta
2 1 1 1
direct
0.000 0.000 0.500 Tl
0.500 0.000 0.000 Tl
0.000 0.000 0.000 Ge
0.000 0.500 0.000 Mo
0.500 0.500 0.500 Ta
```



| no. | total magnetization (μB/cell) |
| --- | --- |
| 1 | 0.00 |
| 2 | 0.29 |